Entry 1:
DFT (PBE-GGA) results for Nd4Cd2Hg after structural relaxation.

The space group is Cmmm (No. 65) and the conventional cell measures 7.6700, 10.7309 and 5.3365 Å, with angles of 90.00, 90.00 and 90.00 degrees. Symmetry generates all atoms from Nd at (0.2439, 0.0000, 0.0000), Nd at (0.2500, 0.2500, 0.5000), Cd at (0.0000, 0.2532, 0.0000) and Hg at (0.0000, 0.5000, 0.5000).

The calculated density comes out at 7.58 Mg/m³. The formation energy comes out at -0.207 eV per atom. The total energy is -3.24 eV per atom.

---

Entry 2:
DFT (PBE-GGA) results for TcHg2Rh after structural relaxation.

The space group is R-3m (No. 166, hexagonal axes) and the conventional cell measures 2.9728, 2.9728 and 27.4426 Å, with angles of 90.00, 90.00 and 120.00 degrees. Symmetry generates all atoms from Tc at (0.0000, 0.0000, 0.0000), Hg at (0.0000, 0.0000, 0.2487) and Rh at (0.0000, 0.0000, 0.5000).

The calculated density comes out at 14.28 Mg/m³. For the distance to the lowest polymorph of the same formula, the calculation gives 311 meV/atom. The formation energy comes out at 0.498 eV per atom. The total energy is -4.08 eV per atom.